(1)
VASP calculation (PBE-GGA) on an optimized crystal structure of ZnSi2Pt.

a = 4.239 Å, b = 4.239 Å, c = 4.808 Å
α = 98.32°, β = 98.32°, γ = 46.06°
Fractional coordinates of all 4 atoms:
Zn1 0.000 0.000 0.000
Si1 0.236 0.236 0.731
Si2 0.764 0.764 0.269
Pt1 0.500 0.500 0.500

space group = No. 12
total energy = -4.644 eV per atom

=====

(2)
VASP calculation (PBE-GGA) on an optimized crystal structure of Zn5SiPt6.

a = 7.321 Å, b = 7.321 Å, c = 7.321 Å
α = 147.90°, β = 122.09°, γ = 67.76°
Fractional coordinates of all 12 atoms:
Zn1 0.000 0.000 0.000
Zn2 0.156 0.656 0.500
Zn3 0.314 0.314 0.000
Zn4 0.686 0.686 0.000
Zn5 0.844 0.344 0.500
Si1 0.500 0.000 0.500
Pt1 0.104 0.837 0.266
Pt2 0.282 0.500 0.782
Pt3 0.429 0.163 0.266
Pt4 0.571 0.837 0.734
Pt5 0.718 0.500 0.218
Pt6 0.896 0.163 0.734

space group = No. 71
total energy = -4.580 eV per atom